Record 1
## NaBiIr2Ru (PBE)

Data for a relaxed structure of NaBiIr2Ru.

The structure belongs to space group P4/mmm (No. 123); the cell edges are 5.059, 5.059 and 5.075 Å and the angles 90.00°, 90.00° and 90.00°. The inequivalent atoms are Na at (0.000, 0.000, 0.000), Bi at (0.500, 0.500, 0.500), Ir at (0.000, 0.500, 0.500) and Ru at (0.500, 0.500, 0.000).

Its total DFT energy (no corrections) is -4.7327 eV/atom.


Record 2
## NaBi2TeIr (PBE)

Data for a relaxed structure of NaBi2TeIr.

The structure belongs to space group P4/mmm (No. 123); the cell edges are 5.257, 5.257 and 5.916 Å and the angles 90.00°, 90.00° and 90.00°. The inequivalent atoms are Na at (0.000, 0.000, 0.000), Bi at (0.000, 0.500, 0.500), Te at (0.500, 0.500, 0.000) and Ir at (0.500, 0.500, 0.500).

The value obtained for the formation energy (no corrections) is 0.2169 eV per atom.


Record 3
## Na2BiTeIr (PBE)

Data for a relaxed structure of Na2BiTeIr.

The structure belongs to space group P4/mmm (No. 123); the cell edges are 5.351, 5.351 and 6.128 Å and the angles 90.00°, 90.00° and 90.00°. The inequivalent atoms are Na at (0.000, 0.500, 0.000), Bi at (0.000, 0.000, 0.500), Te at (0.000, 0.000, 0.000) and Ir at (0.500, 0.500, 0.500).

The value obtained for the formation energy (no corrections) is 0.8594 eV per atom.


Record 4
## Nb2BiIr (PBE)

Data for a relaxed structure of Nb2BiIr.

The structure belongs to space group I-42d (No. 122); the cell edges are 4.005, 4.005 and 20.189 Å and the angles 90.00°, 90.00° and 90.00°. The inequivalent atoms are Nb at (0.246, 0.250, 0.125), Bi at (0.000, 0.000, 0.500) and Ir at (0.000, 0.000, 0.000).

Its total DFT energy (no corrections) is -7.7259 eV/atom.